No. 1
PaInAu4: relaxed, PBE-GGA.

Results
DFT formation energy = -0.142 eV per atom
uncorrected energy = -4.366 eV per atom
magnetization = 0.28 μB/atom
distance to the lowest polymorph of the same formula = 15.27 kJ per mole of atoms

Lattice parameters (Å, degrees): 5.638 5.638 5.638 60.00 60.00 60.00
Atoms (fractional coordinates):
Pa (0.000, 0.000, 0.000)
In (0.750, 0.750, 0.750)
Au (0.375, 0.375, 0.375)
Au (0.375, 0.375, 0.875)
Au (0.375, 0.875, 0.375)
Au (0.875, 0.375, 0.375)

---

No. 2
Pa2InAu3: relaxed, PBE-GGA.

Results
DFT formation energy = -0.165 eV per atom
uncorrected energy = -5.425 eV per atom
magnetization = 0.37 μB/atom

Lattice parameters (Å, degrees): 9.438 9.438 9.438 159.82 151.10 35.50
Atoms (fractional coordinates):
Pa (0.000, 0.000, 0.000)
Pa (0.757, 0.257, 0.500)
In (0.594, 0.594, 0.000)
Au (0.167, 0.667, 0.500)
Au (0.320, 0.820, 0.500)
Au (0.440, 0.440, 0.000)